Compound: Gd3Sn6Pb
Source: OQMD
Functional: PBE
Structure: relaxed

abc: 13.048 13.048 4.598
angles: 90.00 90.00 159.97
Atoms (fractional coordinates):
Sn: 0.790 0.210 0.000
Sn: 0.598 0.402 0.000
Gd: 0.312 0.688 0.500
Gd: 0.688 0.312 0.500
Sn: 0.210 0.790 0.000
Gd: 0.500 0.500 0.500
Sn: 0.402 0.598 0.000
Sn: 0.903 0.097 0.500
Sn: 0.097 0.903 0.500
Pb: 0.000 0.000 0.000

Compound: HfZnCuB
Source: OQMD
Functional: PBE
Structure: relaxed

abc: 4.256 4.256 4.256
angles: 60.00 60.00 60.00
Atoms (fractional coordinates):
B: 0.000 0.000 0.000
Zn: 0.250 0.250 0.250
Cu: 0.750 0.750 0.750
Hf: 0.500 0.500 0.500

no.,VASP energy (eV per atom),mass density (g/cm³)
1,-4.70,8.6
2,-4.85,9.7